i.
DFT (PBE) results for crystalline KCrIn2 at its relaxed geometry.

abc: 8.5209 8.5209 8.5209
angles: 157.82 148.84 38.58
With the nearest neighbours (Å) after each atom.
Element x y z (fractional)
In  0.7387  0.2387  0.5000  4 Cr 2.82
In  0.0892  0.0892  0.0000  2 Cr 2.86
Cr  0.2349  0.7349  0.5000  6 In 2.82-2.86
K  0.4373  0.4373  0.0000  2 K 3.28, 2 Cr 3.65



ii.
DFT (PBE) results for crystalline KCrIn2 at its relaxed geometry.

abc: 5.6013 5.6013 3.4091
angles: 90.00 90.00 97.35
With the nearest neighbours (Å) after each atom.
Element x y z (fractional)
K  0.5000  0.0000  0.5000  8 In 3.28, 2 K 3.41
In  0.0000  0.0000  0.0000  4 Cr 3.28, 4 K 3.28, 2 In 3.41
In  0.5000  0.5000  0.0000  4 K 3.28, 4 Cr 3.28, 2 In 3.41
Cr  0.0000  0.5000  0.5000  8 In 3.28, 2 Cr 3.41



Tell me which of them is the most stable. Sure, it is i.



i.
DFT (PBE) results for crystalline KCrIn2 at its relaxed geometry.

abc: 5.3098 5.3098 5.3098
angles: 120.10 120.10 89.83
With the nearest neighbours (Å) after each atom.
Element x y z (fractional)
Cr  0.7500  0.2500  0.5000  4 In 3.25, 4 K 3.25
K  0.5000  0.5000  0.0000  4 Cr 3.25, 4 In 3.25
In  0.0000  0.0000  0.0000  4 In 3.25, 4 Cr 3.25
In  0.2500  0.7500  0.5000  4 In 3.25, 4 K 3.25



ii.
DFT (PBE) results for crystalline KCrIn2 at its relaxed geometry.

abc: 5.2731 5.2731 5.2731
angles: 60.00 60.00 60.00
With the nearest neighbours (Å) after each atom.
Element x y z (fractional)
K  0.0000  0.0000  0.0000  8 In 3.23
Cr  0.5000  0.5000  0.5000  8 In 3.23
In  0.2500  0.2500  0.2500  4 Cr 3.23, 4 K 3.23
In  0.7500  0.7500  0.7500  4 Cr 3.23, 4 K 3.23



iii.
DFT (PBE) results for crystalline KCrIn2 at its relaxed geometry.

abc: 5.8688 5.8688 10.1720
angles: 73.23 73.23 90.00
With the nearest neighbours (Å) after each atom.
Element x y z (fractional)
K  0.2500  0.7500  0.5000  8 In 4.02, 4 Cr 4.15
K  0.5000  0.5000  0.0000  8 In 4.02, 4 Cr 4.15
In  0.8756  0.6250  0.2500  2 Cr 2.75, 2 In 2.93
In  0.8750  0.1244  0.7500  2 Cr 2.75, 2 In 2.93
In  0.8744  0.1250  0.2500  2 Cr 2.75, 2 In 2.93
In  0.3750  0.1256  0.7500  2 Cr 2.75, 2 In 2.93
Cr  0.0000  0.0000  0.0000  4 In 2.75
Cr  0.7500  0.2500  0.5000  4 In 2.75



iv.
DFT (PBE) results for crystalline KCrIn2 at its relaxed geometry.

abc: 3.5229 3.4779 8.5722
angles: 90.00 90.00 90.00
With the nearest neighbours (Å) after each atom.
Element x y z (fractional)
K  0.5000  0.5000  0.2500  4 K 3.48-3.52, 8 In 3.66
In  0.0000  0.0000  0.9357  4 Cr 2.94, 1 In 3.18
In  0.0000  0.0000  0.5643  4 Cr 2.94, 1 In 3.18
Cr  0.5000  0.5000  0.7500  8 In 2.94



Tell me which of them is the most stable. Sure, it is iv.